# AcPr2Al2Ag2 (GGA-PBE, relaxed)
data_AcPr2Al2Ag2
_symmetry_space_group_name_H-M 'R -3 m'
_symmetry_Int_Tables_number 166
_symmetry_space_group_name_Hall '-R 3 2"'
_cell_length_a 4.7804
_cell_length_b 4.7804
_cell_length_c 28.9894
_cell_angle_alpha 90.00
_cell_angle_beta 90.00
_cell_angle_gamma 120.00
loop_
_atom_site_label
_atom_site_fract_x
_atom_site_fract_y
_atom_site_fract_z
Ac1 0.0000 0.0000 0.0000
Pr1 0.0000 0.0000 0.1289
Al1 0.0000 0.0000 0.2554
Ag1 0.0000 0.0000 0.4060
# Calculated volume: 27.320 Å³/atom
# Formation enthalpy at 0 K: -0.283 eV per atom
# D(E_F): 5.42 states/eV/f.u.

---

# AcPrAlAg (GGA-PBE, relaxed)
data_AcPrAlAg
_symmetry_space_group_name_H-M 'P 4 m m'
_symmetry_Int_Tables_number 99
_cell_length_a 3.820
_cell_length_b 3.820
_cell_length_c 7.909
_cell_angle_alpha 90.00
_cell_angle_beta 90.00
_cell_angle_gamma 90.00
loop_
_symmetry_equiv_pos_as_xyz
'x,y,z'
'-y,x,z'
'-x,-y,z'
'y,-x,z'
'-x,y,z'
'y,x,z'
'x,-y,z'
'-y,-x,z'
loop_
_atom_site_label
_atom_site_fract_x
_atom_site_fract_y
_atom_site_fract_z
Ac1 0.000 0.000 0.000
Pr1 0.000 0.000 0.492
Al1 0.500 0.500 0.262
Ag1 0.500 0.500 0.720
# Calculated volume: 28.857 Å³/atom
# Formation enthalpy at 0 K: -0.269 eV per atom
# D(E_F): 3.74 states/eV/f.u.
# Distance to the lowest polymorph of the same formula: 0.000 eV/f.u.

---

What is the D(E_F) in the first record?
5.42 states/eV/f.u.

---

The lowest D(E_F) belongs to which entry?
AcPrAlAg

---

D(E_F) of number 1 (AcPr2Al2Ag2)?
5.42 states/eV/f.u.

---

Look up the D(E_F) of the first one.
5.42 states/eV/f.u.